First-principles (PBE) data for a relaxed Ca4GaN crystal, as listed in the Alexandria database.

Cell lengths 9.4455, 9.4455, 6.9727 Å; angles 90.00, 90.00, 149.56 degrees
Closest atoms and distances in Å follow each position.
Element x y z (fractional)
1 Ca 0.0000 0.0000 0.0000  2 N 2.44
2 Ca 0.0000 0.0000 0.5000  2 N 2.44
3 Ca 0.1790 0.8210 0.5030  1 N 2.32
4 Ca 0.1790 0.8210 0.9970  1 N 2.32
5 Ca 0.4139 0.5861 0.2500  2 N 2.48
6 Ca 0.5861 0.4139 0.7500  2 N 2.48
7 Ca 0.8210 0.1790 0.0030  1 N 2.32
8 Ca 0.8210 0.1790 0.4970  1 N 2.32
9 Ga 0.3864 0.6136 0.7500  7 Ca 3.27-3.64
10 Ga 0.6136 0.3864 0.2500  7 Ca 3.27-3.64
11 N 0.0938 0.9062 0.7500  6 Ca 2.32-2.48
12 N 0.9062 0.0938 0.2500  6 Ca 2.32-2.48

Properties
E: -3.7472 eV/atom
Formation energy from raw total energies: -0.52 eV per atom
SG: Cmcm, No. 63
Theoretical density: 2.6 g cm⁻³
Crystal system: orthorhombic
Energy above the most stable polymorph in this dataset: 0.0000 eV per atom